The following is a GGA-PBE calculation of crystalline BaGaAgN2 at its relaxed geometry, from the Alexandria database.

Calculated values
calculated volume: 35.1 A^3/atom
total energy: -3.1403 eV per atom
raw formation energy: 844 kJ/mol of formula units

Unit cell a=5.022 b=5.022 c=6.951 alpha=90.00 beta=90.00 gamma=90.00
Space group P4/mmm (No. 123)
One atom of each set of equivalent atoms:
Ba 0.000 0.000 0.000 x1
Ga 0.000 0.000 0.500 x1
Ag 0.500 0.500 0.500 x1
N 0.000 0.500 0.000 x2